Entry 1:
Here is a relaxed LiPrPb2 crystal from Alexandria via LeMat-Bulk. Energies are from PBE.

Unit cell a=4.8013 b=4.8013 c=16.6192 alpha=90.00 beta=90.00 gamma=120.00
Space group R-3m (No. 166, hexagonal axes)
Symmetry-distinct sites (fractional):
Li1 0.0000 0.0000 0.0000 [3 per cell]
Pr1 0.0000 0.0000 0.5000 [3 per cell]
Pb1 0.0000 0.0000 0.2719 [6 per cell]

## Properties
crystal system = trigonal
DFT total energy = -0.1430 hartree per atom



Entry 2:
Here is a relaxed Li3PrPb3 crystal from Alexandria via LeMat-Bulk. Energies are from PBE.

Unit cell a=7.280 b=7.280 c=7.280 alpha=90.00 beta=90.00 gamma=90.00
Space group Pm-3n (No. 223)
Symmetry-distinct sites (fractional):
Li1 0.000 0.250 0.500 [6 per cell]
Pr1 0.000 0.000 0.000 [2 per cell]
Pb1 0.000 0.500 0.250 [6 per cell]

## Properties
crystal system = cubic
DFT total energy = -0.1089 hartree per atom



Quick rundown of E_form, same order as above: -0.365; 0.128 eV/atom
Quick rundown of spin magnetization, same order as above: 0.000; 0.000 μB/cell